Compound: K2Tl4I3Br2
Source: Alexandria via LeMat-Bulk
Functional: PBE-GGA
Structure: optimized geometry

Lattice parameters (Å, degrees): 6.317 6.317 25.826 90.00 90.00 90.00
Space group I4/mmm (No. 139)
One atom of each set of equivalent atoms:
1 K 0.000 0.000 0.198 (multiplicity 4)
2 Tl 0.000 0.500 0.071 (multiplicity 8)
3 I 0.000 0.000 0.329 (multiplicity 4)
4 I 0.000 0.000 0.500 (multiplicity 2)
5 Br 0.000 0.000 0.077 (multiplicity 4)

Computed properties:
The total moment is 0.00 Bohr magnetons per cell. Its formation energy without anion corrections is -777 meV per atom. The total energy is -56.41 eV per cell.

=====

Compound: RbAsO
Source: Alexandria via LeMat-Bulk
Functional: PBE-GGA
Structure: optimized geometry

Lattice parameters (Å, degrees): 4.585 5.154 7.664 72.13 72.70 63.99
Space group P-1 (No. 2)
One atom of each set of equivalent atoms:
1 Rb 0.095 0.136 0.177 (multiplicity 2)
2 As 0.319 0.334 0.530 (multiplicity 2)
3 O 0.237 0.250 0.778 (multiplicity 2)

Computed properties:
The excess energy over the best structure of this formula in the dataset is 0.0000 eV/atom. The total moment is 0.00 Bohr magnetons per cell. Its formation energy without anion corrections is -1080 meV per atom. The total energy is -27.63 eV per cell.